This record from Alexandria via LeMat-Bulk describes crystalline BaSrF2 at its relaxed geometry. The functional is PBE.

a b c (Å): 5.066 5.066 5.066
angles (deg): 60.00 60.00 60.00
Atoms (fractional coordinates):
Ba: 0.000 0.000 0.000
Sr: 0.500 0.500 0.500
F: 0.250 0.250 0.250
F: 0.750 0.750 0.750

Computed properties:
For the calculated total energy, the calculation gives -15.36 eV/cell. As for the space group: No. 225. The calculation puts the offset from the most stable computed form at 3.48 eV/f.u. The calculation puts the total magnetization at 1.49 μB/f.u.